[1]
This record from the Alexandria database describes a crystal of PdSe2F relaxed with PBEsol. The functional is meta-GGA SCAN.

Summary:
Spin magnetization: 0.000 μB/atom
Uncorrected energy: -19.642 eV/atom
E_form (uncorrected): -0.524 eV/atom
Space-group type: R-3m

Lattice parameters (Å, degrees): 3.8163 3.8163 7.0771 74.36 74.36 60.00
Fractional positions:
Se (0.8928, 0.8928, 0.3215)
Se (0.1072, 0.1072, 0.6785)
Pd (0.5000, 0.5000, 0.5000)
F (0.0000, 0.0000, 0.0000)



[2]
This record from the Alexandria database describes a crystal of ReSbIr2 relaxed with PBEsol. The functional is meta-GGA SCAN.

Summary:
Spin magnetization: 0.000 μB/atom
Uncorrected energy: -62.318 eV/atom
E_form (uncorrected): 0.321 eV/atom
Space-group type: I4/mmm

Lattice parameters (Å, degrees): 3.9490 3.9490 4.8455 114.05 114.05 90.00
Fractional positions:
Ir (0.7500, 0.2500, 0.5000)
Ir (0.2500, 0.7500, 0.5000)
Re (0.0000, 0.0000, 0.0000)
Sb (0.5000, 0.5000, 0.0000)



[3]
This record from the Alexandria database describes a crystal of AcHgAu2 relaxed with PBEsol. The functional is meta-GGA SCAN.

Summary:
Spin magnetization: 0.000 μB/atom
Uncorrected energy: -74.969 eV/atom
Space-group type: Fm-3m

Lattice parameters (Å, degrees): 5.1313 5.1313 5.1313 60.00 60.00 60.00
Fractional positions:
Ac (0.5000, 0.5000, 0.5000)
Au (0.7500, 0.7500, 0.7500)
Au (0.2500, 0.2500, 0.2500)
Hg (0.0000, 0.0000, 0.0000)



[4]
This record from the Alexandria database describes a crystal of Mn2SeO relaxed with PBEsol. The functional is meta-GGA SCAN.

Summary:
Spin magnetization: 2.500 μB/atom
Uncorrected energy: -17.052 eV/atom
E_form (uncorrected): -1.347 eV/atom
Space-group type: I-42d

Lattice parameters (Å, degrees): 5.2733 5.2733 6.3208 114.65 114.65 90.00
Fractional positions:
Mn (0.4554, 0.8750, 0.2500)
Mn (0.7946, 0.3750, 0.2500)
Mn (0.1250, 0.2054, 0.7500)
Mn (0.6250, 0.5446, 0.7500)
O (0.7500, 0.2500, 0.5000)
O (0.5000, 0.5000, 0.0000)
Se (0.2500, 0.7500, 0.5000)
Se (0.0000, 0.0000, 0.0000)



[5]
This record from the Alexandria database describes a crystal of AlI2N relaxed with PBEsol. The functional is meta-GGA SCAN.

Summary:
Spin magnetization: 0.500 μB/atom
Uncorrected energy: -21.569 eV/atom
E_form (uncorrected): 1.063 eV/atom
Space-group type: I-42d

Lattice parameters (Å, degrees): 6.3657 6.3657 6.3657 105.86 111.31 111.31
Fractional positions:
I (0.9982, 0.6232, 0.1250)
I (0.0018, 0.1268, 0.6250)
I (0.5018, 0.3750, 0.3768)
I (0.4982, 0.8750, 0.8732)
Al (0.0000, 0.0000, 0.0000)
Al (0.5000, 0.7500, 0.2500)
N (0.0000, 0.5000, 0.5000)
N (0.5000, 0.2500, 0.7500)



[6]
This record from the Alexandria database describes a crystal of BPd3Pb relaxed with PBEsol. The functional is meta-GGA SCAN.

Summary:
Spin magnetization: 0.000 μB/atom
Uncorrected energy: -36.448 eV/atom
Space-group type: Pm-3m

Lattice parameters (Å, degrees): 4.2448 4.2448 4.2448 90.00 90.00 90.00
Fractional positions:
Pb (0.5000, 0.5000, 0.5000)
B (0.0000, 0.0000, 0.0000)
Pd (0.0000, 0.5000, 0.0000)
Pd (0.0000, 0.0000, 0.5000)
Pd (0.5000, 0.0000, 0.0000)



[7]
This record from the Alexandria database describes a crystal of BaZn4Fe relaxed with PBEsol. The functional is meta-GGA SCAN.

Summary:
Spin magnetization: 0.455 μB/atom
Uncorrected energy: -18.411 eV/atom
Space-group type: F-43m

Lattice parameters (Å, degrees): 5.3402 5.3402 5.3402 60.00 60.00 60.00
Fractional positions:
Ba (0.7500, 0.7500, 0.7500)
Fe (0.0000, 0.0000, 0.0000)
Zn (0.3720, 0.3720, 0.3720)
Zn (0.3720, 0.3720, 0.8841)
Zn (0.8841, 0.3720, 0.3720)
Zn (0.3720, 0.8841, 0.3720)



[8]
This record from the Alexandria database describes a crystal of Hf5CuPb3 relaxed with PBEsol. The functional is meta-GGA SCAN.

Summary:
Spin magnetization: 0.000 μB/atom
Uncorrected energy: -62.032 eV/atom
Space-group type: P6_3/mcm

Lattice parameters (Å, degrees): 5.8004 8.5880 8.5880 120.00 90.00 90.00
Fractional positions:
Hf (0.5000, 0.6667, 0.3333)
Hf (0.2500, 0.7430, 0.0000)
Hf (0.7500, 0.0000, 0.2570)
Hf (0.7500, 0.7430, 0.7430)
Hf (0.0000, 0.3333, 0.6667)
Hf (0.5000, 0.3333, 0.6667)
Hf (0.7500, 0.2570, 0.0000)
Hf (0.0000, 0.6667, 0.3333)
Hf (0.2500, 0.2570, 0.2570)
Hf (0.2500, 0.0000, 0.7430)
Cu (0.5000, 0.0000, 0.0000)
Cu (0.0000, 0.0000, 0.0000)
Pb (0.7500, 0.3879, 0.3879)
Pb (0.7500, 0.0000, 0.6121)
Pb (0.2500, 0.3879, 0.0000)
Pb (0.2500, 0.6121, 0.6121)
Pb (0.7500, 0.6121, 0.0000)
Pb (0.2500, 0.0000, 0.3879)



no.,volume (Å³ per atom)
1,21.21
2,15.44
3,23.88
4,17.74
5,24.75
6,15.30
7,17.95
8,20.58